[1]
CaBePO2 (PBE, relaxed); calculated total energy = -24.94 eV/cell; uncorrected formation energy = -0.78 eV/atom; offset from the most stable computed form = 0 meV per atom
1.0
3.9302 0.0000 0.0000
0.0000 3.9302 0.0000
0.0000 0.0000 4.0351
P Ca O Be
1 1 2 1
Cartesian
0.0000 0.0000 2.0176
1.9651 1.9651 2.0176
0.0000 1.9651 0.0000
1.9651 0.0000 0.0000
0.0000 0.0000 0.0000

***

[2]
Cd2NiMo (PBE, relaxed); calculated total energy = -16.20 eV/cell; offset from the most stable computed form = 428 meV per atom
1.0
0.0000 3.2520 3.2520
3.2520 0.0000 3.2520
3.2520 3.2520 0.0000
Ni Mo Cd
1 1 2
Cartesian
0.0000 0.0000 0.0000
3.2520 3.2520 3.2520
1.6260 1.6260 1.6260
4.8781 4.8781 4.8781